Entry 1:
## RuC (PBE)

Data for an optimized crystal structure of RuC.

extended XYZ file:
```
4
Lattice="2.8110 0.0000 0.0000 0.0000 2.8110 0.0000 0.0000 0.0000 5.1643" Properties=species:S:1:pos:R:3 pbc="T T T"
C 0.7027 0.7027 0.6980
C 2.1082 2.1082 4.4663
Ru 0.7027 0.7027 3.7670
Ru 2.1082 2.1082 1.3973
```

Summary:
Its space group is P4/nmm. The value obtained for the energy above the most stable polymorph in this dataset is 0.86 eV per formula unit.


Entry 2:
## SrSc4Sn3O12 (PBE)

Data for an optimized crystal structure of SrSc4Sn3O12.

extended XYZ file:
```
20
Lattice="-1.9428 -0.0417 -6.6788 1.2017 -6.5195 2.1058 -5.0616 2.7907 3.8697" Properties=species:S:1:pos:R:3 pbc="T T T"
Sn -1.9300 -1.8644 2.9878
Sn -3.5022 1.3745 -1.4046
Sn -0.3706 -3.2806 -2.2865
O -2.8462 0.1573 0.2355
O -2.9566 -3.9278 -0.9388
O -1.7967 -4.0537 -3.6901
O -2.8164 -3.7906 3.3132
O -2.9863 0.0201 -4.0164
O -5.5711 1.2268 -0.8573
O -0.2316 -4.9973 0.1541
O -4.4880 -1.4305 -1.6917
O -4.2944 -2.2693 1.2078
O -1.5084 -1.5012 -1.9111
O -4.0061 0.2833 2.9869
O -1.3148 -2.3399 0.9885
Sc -2.9014 -1.8852 -0.3516
Sc -2.5308 1.3954 1.9349
Sc 0.6008 -3.2598 1.0529
Sc -0.9714 -0.0208 -3.3394
Sr 0.0000 0.0000 0.0000
```

Summary:
As for the uncorrected formation energy: -2489.3 meV/atom. Its space group is Im-3.


Entry 3:
## Li2MnIrI (PBE)

Data for an optimized crystal structure of Li2MnIrI.

extended XYZ file:
```
5
Lattice="4.6619 0.0000 0.0000 0.0000 5.2499 0.0000 0.0000 0.0000 4.6619" Properties=species:S:1:pos:R:3 pbc="T T T"
Li 0.0000 0.0000 2.3310
Li 2.3310 0.0000 0.0000
Ir 2.3310 2.6249 2.3310
Mn 0.0000 2.6249 0.0000
I 0.0000 0.0000 0.0000
```

Summary:
As for the uncorrected formation energy: 890.5 meV/atom. Its space group is P4/mmm.